No. 1
Tb4Tl2InRh | Alexandria via LeMat-Bulk | PBE | optimized geometry; ΔE_f = -0.462 eV/atom; total energy = -37.0 eV per formula unit
1.0
-1.254 4.510 -2.464
1.463 0.763 -5.026
-7.198 -1.707 -5.139
Tb Tl In Rh
4 2 1 1
Direct
0.386 0.386 0.841 Tb
0.132 0.132 0.604 Tb
0.614 0.614 0.159 Tb
0.868 0.868 0.396 Tb
0.256 0.256 0.232 Tl
0.744 0.744 0.768 Tl
0.000 0.000 0.000 In
0.500 0.500 0.500 Rh

***

No. 2
NaCa3Pb | Alexandria via LeMat-Bulk | PBE | optimized geometry; ΔE_f = -0.090 eV/atom; total energy = -11.5 eV per formula unit; energy relative to the lowest polymorph listed for this composition = 0.000 eV/atom
1.0
6.114 0.000 0.000
0.000 6.114 0.000
0.000 0.000 6.114
Ca Na Pb
3 1 1
Direct
0.000 0.000 0.500 Ca
0.500 0.000 0.000 Ca
0.000 0.500 0.000 Ca
0.500 0.500 0.500 Na
0.000 0.000 0.000 Pb